Density functional theory data (GGA-PBE) for an optimized crystal structure of Li4TiS4.

```
Li4TiS4
1.0
-5.3682 -3.4527 -2.0563
0.2901 -3.3323 5.8120
-4.6870 5.3285 3.2890
S Li Ti
8 8 2
Cartesian
-6.4008 -2.7116 4.6445 S
-5.0887 0.4220 6.0154 S
-1.0573 -1.3676 0.7813 S
-7.3279 0.3744 2.9016 S
-8.7078 -0.0888 6.2634 S
-3.3644 1.2552 2.4002 S
-2.4372 -1.8308 4.1431 S
-4.6765 -1.8784 1.0293 S
-4.4607 -3.4334 -0.7944 Li
-4.0442 -3.6402 4.7846 Li
-0.6174 -3.3516 4.5501 Li
-5.7210 2.1838 2.2600 Li
-6.8043 -0.7691 0.8501 Li
-5.7699 -3.6770 2.3849 Li
-3.9953 2.2205 4.6598 Li
-2.9609 -0.6873 6.1946 Li
-2.8890 -0.9623 2.0923 Ti
-6.8762 -0.4941 4.9524 Ti
```

Total DFT energy (no corrections) ... -87.5 eV per cell
ΔE_f (raw) ... -1.30 eV/atom
Symmetry ... Cmcm
Total moment ... 0.000 μB/f.u.